# SrZn2SnGe

Crystalline SrZn2SnGe at its relaxed geometry (GGA-PBE, OQMD).

Cell lengths 6.4341, 6.4341, 6.4341 Å; angles 138.77, 138.77, 59.72 degrees
Atoms (fractional coordinates):
Sn (0.3811, 0.3811, 0.0000)
Zn (0.2430, 0.7430, 0.5000)
Zn (0.7430, 0.2430, 0.5000)
Sr (0.0066, 0.0066, 0.0000)
Ge (0.6264, 0.6264, 0.0000)

DFT total energy, eV per atom: -2.90
SG: I4mm, No. 107